Entry 1:
Density functional theory data (GGA-PBEsol) for a geometry-optimized LaMg2Ru structure.

Cell lengths 3.3014, 4.8418, 5.4855 Å; angles 90.00, 106.21, 90.00 degrees
Last column: nearest neighbours and their distance in Å.
Sites, in units of the cell vectors:
La  0.0000  0.0000  0.0000  2 Ru 2.74
Mg  0.3639  0.5000  0.7096  2 Mg 2.69-2.82, 2 Ru 2.80
Mg  0.6361  0.5000  0.2904  2 Mg 2.69-2.82, 2 Ru 2.80
Ru  0.0000  0.0000  0.5000  2 La 2.74, 4 Mg 2.80

Output
SG   P2/m
Formation enthalpy at 0 K   0.22 eV per formula unit

Entry 2:
Density functional theory data (GGA-PBEsol) for a geometry-optimized LaCu2Br structure.

Cell lengths 5.9872, 5.9359, 4.0342 Å; angles 70.91, 69.54, 39.55 degrees
Last column: nearest neighbours and their distance in Å.
Sites, in units of the cell vectors:
La  0.0000  0.0000  0.0000  4 Br 2.80-2.91, 4 Cu 2.99
Cu  0.0000  0.5000  0.5000  4 Cu 2.80-2.91, 2 Br 2.99, 2 La 2.99
Cu  0.5000  0.0000  0.0000  4 Cu 2.80-2.91, 2 Br 2.99, 2 La 2.99
Br  0.5000  0.5000  0.5000  4 La 2.80-2.91, 4 Cu 2.99

Output
SG   Fmmm
Offset from the most stable computed form   286 meV/atom

Entry 3:
Density functional theory data (GGA-PBEsol) for a geometry-optimized Cs2SrBe structure.

Cell lengths 6.6936, 6.6936, 6.6936 Å; angles 60.00, 60.00, 60.00 degrees
Last column: nearest neighbours and their distance in Å.
Sites, in units of the cell vectors:
Cs  0.2500  0.2500  0.2500  4 Be 4.10, 4 Sr 4.10
Cs  0.7500  0.7500  0.7500  4 Be 4.10, 4 Sr 4.10
Sr  0.0000  0.0000  0.0000  8 Cs 4.10
Be  0.5000  0.5000  0.5000  8 Cs 4.10

Output
SG   Fm-3m
Formation enthalpy at 0 K   3.50 eV per formula unit

Entry 4:
Density functional theory data (GGA-PBEsol) for a geometry-optimized CaCr2In structure.

Cell lengths 2.7420, 2.7420, 9.1137 Å; angles 90.00, 90.00, 92.21 degrees
Last column: nearest neighbours and their distance in Å.
Sites, in units of the cell vectors:
Ca  0.0000  0.0000  0.0000  4 Ca 2.74
Cr  0.5000  0.5000  0.2723  4 Cr 2.74, 4 In 2.81-2.87
Cr  0.5000  0.5000  0.7277  4 Cr 2.74, 4 In 2.81-2.87
In  0.0000  0.0000  0.5000  4 In 2.74, 8 Cr 2.81-2.87

Output
SG   Cmmm
Formation enthalpy at 0 K   3.92 eV per formula unit

Entry 5:
Density functional theory data (GGA-PBEsol) for a geometry-optimized SrLaI5 structure.

Cell lengths 11.2141, 11.2141, 7.7699 Å; angles 91.24, 91.24, 147.58 degrees
Last column: nearest neighbours and their distance in Å.
Sites, in units of the cell vectors:
Sr  0.1759  0.8241  0.7500  8 I 3.40-3.80
Sr  0.8241  0.1759  0.2500  8 I 3.40-3.80
La  0.4198  0.5802  0.7500  8 I 3.22-3.32
La  0.5802  0.4198  0.2500  8 I 3.22-3.32
I  0.1322  0.8678  0.2500  2 La 3.32
I  0.2114  0.2875  0.3911  2 La 3.22-3.23, 1 Sr 3.49
I  0.2875  0.2114  0.8911  2 La 3.22-3.23, 1 Sr 3.49
I  0.3013  0.6958  0.4904  1 La 3.23, 2 Sr 3.40-3.54
I  0.3042  0.6987  0.0096  1 La 3.23, 2 Sr 3.40-3.54
I  0.6958  0.3013  0.9904  1 La 3.23, 2 Sr 3.40-3.54
I  0.6987  0.3042  0.5096  1 La 3.23, 2 Sr 3.40-3.54
I  0.7125  0.7886  0.1089  2 La 3.22-3.23, 1 Sr 3.49
I  0.7886  0.7125  0.6089  2 La 3.22-3.23, 1 Sr 3.49
I  0.8678  0.1322  0.7500  2 La 3.32

Output
SG   C2/c
Offset from the most stable computed form   27 meV/atom

Entry 6:
Density functional theory data (GGA-PBEsol) for a geometry-optimized Co2SbPt structure.

Cell lengths 4.3018, 4.3018, 4.3018 Å; angles 60.00, 60.00, 60.00 degrees
Last column: nearest neighbours and their distance in Å.
Sites, in units of the cell vectors:
Co  0.0000  0.0000  0.0000  4 Sb 2.63, 4 Co 2.63
Co  0.2500  0.2500  0.2500  4 Co 2.63, 4 Pt 2.63
Sb  0.7500  0.7500  0.7500  4 Co 2.63, 4 Pt 2.63
Pt  0.5000  0.5000  0.5000  4 Sb 2.63, 4 Co 2.63

Output
SG   F-43m

| no. | E_tot (eV/atom) |
| --- | --- |
| 1 | -4.684 |
| 2 | -4.104 |
| 3 | -1.056 |
| 4 | -5.420 |
| 5 | -3.816 |
| 6 | -6.589 |